(1)
Compound: ScBeInCo
Source: OQMD via LeMat-Bulk
Functional: PBE-GGA
Structure: optimized geometry

```
data_ScBeInCo
_chemical_formula_sum 'Sc4 Be4 In4 Co4'
_symmetry_space_group_name_H-M 'F -4 3 m'
_symmetry_Int_Tables_number 216
_symmetry_space_group_name_Hall 'F -4 2 3'
_cell_length_a 6.226
_cell_length_b 6.226
_cell_length_c 6.226
_cell_angle_alpha 90.00
_cell_angle_beta 90.00
_cell_angle_gamma 90.00
loop_
_atom_site_label
_atom_site_fract_x
_atom_site_fract_y
_atom_site_fract_z
_atom_site_occupancy
Sc1 0.000 0.000 0.000 1
Be1 0.250 0.250 0.250 1
In1 0.000 0.000 0.500 1
Co1 0.250 0.250 0.750 1
```

Values from the calculation:
Calculated total energy, eV per atom: -5.07
Spin magnetization, μB/f.u.: 0.03
Relative energy among the computed polymorphs, eV/f.u.: 0.00

(2)
Compound: ScBeInCo
Source: OQMD via LeMat-Bulk
Functional: PBE-GGA
Structure: optimized geometry

```
data_ScBeInCo
_chemical_formula_sum 'Sc4 Be4 In4 Co4'
_symmetry_space_group_name_H-M 'F -4 3 m'
_symmetry_Int_Tables_number 216
_symmetry_space_group_name_Hall 'F -4 2 3'
_cell_length_a 6.259
_cell_length_b 6.259
_cell_length_c 6.259
_cell_angle_alpha 90.00
_cell_angle_beta 90.00
_cell_angle_gamma 90.00
loop_
_atom_site_label
_atom_site_fract_x
_atom_site_fract_y
_atom_site_fract_z
_atom_site_occupancy
Sc1 0.000 0.000 0.000 1
Be1 0.000 0.000 0.500 1
In1 0.250 0.250 0.750 1
Co1 0.250 0.250 0.250 1
```

Values from the calculation:
Calculated total energy, eV per atom: -4.89
Spin magnetization, μB/f.u.: 0.06
Relative energy among the computed polymorphs, eV/f.u.: 0.73

(3)
Compound: TaBeInCo
Source: OQMD via LeMat-Bulk
Functional: PBE-GGA
Structure: optimized geometry

```
data_TaBeInCo
_chemical_formula_sum 'Ta4 Be4 In4 Co4'
_symmetry_space_group_name_H-M 'F -4 3 m'
_symmetry_Int_Tables_number 216
_symmetry_space_group_name_Hall 'F -4 2 3'
_cell_length_a 6.095
_cell_length_b 6.095
_cell_length_c 6.095
_cell_angle_alpha 90.00
_cell_angle_beta 90.00
_cell_angle_gamma 90.00
loop_
_atom_site_label
_atom_site_fract_x
_atom_site_fract_y
_atom_site_fract_z
_atom_site_occupancy
Ta1 0.000 0.000 0.000 1
Be1 0.250 0.250 0.250 1
In1 0.000 0.000 0.500 1
Co1 0.250 0.250 0.750 1
```

Values from the calculation:
Calculated total energy, eV per atom: -6.25
Spin magnetization, μB/f.u.: 0.21
Relative energy among the computed polymorphs, eV/f.u.: 0.00

(4)
Compound: TaBeInCo
Source: OQMD via LeMat-Bulk
Functional: PBE-GGA
Structure: optimized geometry

```
data_TaBeInCo
_chemical_formula_sum 'Ta4 Be4 In4 Co4'
_symmetry_space_group_name_H-M 'F -4 3 m'
_symmetry_Int_Tables_number 216
_symmetry_space_group_name_Hall 'F -4 2 3'
_cell_length_a 6.194
_cell_length_b 6.194
_cell_length_c 6.194
_cell_angle_alpha 90.00
_cell_angle_beta 90.00
_cell_angle_gamma 90.00
loop_
_atom_site_label
_atom_site_fract_x
_atom_site_fract_y
_atom_site_fract_z
_atom_site_occupancy
Ta1 0.000 0.000 0.000 1
Be1 0.250 0.250 0.750 1
In1 0.250 0.250 0.250 1
Co1 0.000 0.000 0.500 1
```

Values from the calculation:
Calculated total energy, eV per atom: -5.86
Spin magnetization, μB/f.u.: 1.31
Relative energy among the computed polymorphs, eV/f.u.: 1.57

(5)
Compound: BeInCoTc
Source: OQMD via LeMat-Bulk
Functional: PBE-GGA
Structure: optimized geometry

```
data_BeInCoTc
_chemical_formula_sum 'Be4 In4 Co4 Tc4'
_symmetry_space_group_name_H-M 'F -4 3 m'
_symmetry_Int_Tables_number 216
_symmetry_space_group_name_Hall 'F -4 2 3'
_cell_length_a 6.001
_cell_length_b 6.001
_cell_length_c 6.001
_cell_angle_alpha 90.00
_cell_angle_beta 90.00
_cell_angle_gamma 90.00
loop_
_atom_site_label
_atom_site_fract_x
_atom_site_fract_y
_atom_site_fract_z
_atom_site_occupancy
Be1 0.000 0.000 0.000 1
In1 0.250 0.250 0.250 1
Co1 0.000 0.000 0.500 1
Tc1 0.250 0.250 0.750 1
```

Values from the calculation:
Calculated total energy, eV per atom: -5.76
Spin magnetization, μB/f.u.: 2.49
Relative energy among the computed polymorphs, eV/f.u.: 0.00

(6)
Compound: BeInCoW
Source: OQMD via LeMat-Bulk
Functional: PBE-GGA
Structure: optimized geometry

```
data_BeInCoW
_chemical_formula_sum 'Be4 In4 Co4 W4'
_symmetry_space_group_name_H-M 'F -4 3 m'
_symmetry_Int_Tables_number 216
_symmetry_space_group_name_Hall 'F -4 2 3'
_cell_length_a 6.047
_cell_length_b 6.047
_cell_length_c 6.047
_cell_angle_alpha 90.00
_cell_angle_beta 90.00
_cell_angle_gamma 90.00
loop_
_atom_site_label
_atom_site_fract_x
_atom_site_fract_y
_atom_site_fract_z
_atom_site_occupancy
Be1 0.000 0.000 0.000 1
In1 0.250 0.250 0.250 1
Co1 0.000 0.000 0.500 1
W1 0.250 0.250 0.750 1
```

Values from the calculation:
Calculated total energy, eV per atom: -6.22
Spin magnetization, μB/f.u.: 2.02
Relative energy among the computed polymorphs, eV/f.u.: 0.00

(7)
Compound: BeInCoW
Source: OQMD via LeMat-Bulk
Functional: PBE-GGA
Structure: optimized geometry

```
data_BeInCoW
_chemical_formula_sum 'Be4 In4 Co4 W4'
_symmetry_space_group_name_H-M 'F -4 3 m'
_symmetry_Int_Tables_number 216
_symmetry_space_group_name_Hall 'F -4 2 3'
_cell_length_a 6.132
_cell_length_b 6.132
_cell_length_c 6.132
_cell_angle_alpha 90.00
_cell_angle_beta 90.00
_cell_angle_gamma 90.00
loop_
_atom_site_label
_atom_site_fract_x
_atom_site_fract_y
_atom_site_fract_z
_atom_site_occupancy
Be1 0.000 0.000 0.000 1
In1 0.000 0.000 0.500 1
Co1 0.250 0.250 0.750 1
W1 0.250 0.250 0.250 1
```

Values from the calculation:
Calculated total energy, eV per atom: -5.95
Spin magnetization, μB/f.u.: 2.33
Relative energy among the computed polymorphs, eV/f.u.: 1.10

(8)
Compound: BeZnInCo
Source: OQMD via LeMat-Bulk
Functional: PBE-GGA
Structure: optimized geometry

```
data_BeZnInCo
_chemical_formula_sum 'Be4 Zn4 In4 Co4'
_symmetry_space_group_name_H-M 'F -4 3 m'
_symmetry_Int_Tables_number 216
_symmetry_space_group_name_Hall 'F -4 2 3'
_cell_length_a 5.994
_cell_length_b 5.994
_cell_length_c 5.994
_cell_angle_alpha 90.00
_cell_angle_beta 90.00
_cell_angle_gamma 90.00
loop_
_atom_site_label
_atom_site_fract_x
_atom_site_fract_y
_atom_site_fract_z
_atom_site_occupancy
Be1 0.000 0.000 0.000 1
Zn1 0.000 0.000 0.500 1
In1 0.250 0.250 0.750 1
Co1 0.250 0.250 0.250 1
```

Values from the calculation:
Calculated total energy, eV per atom: -3.42
Spin magnetization, μB/f.u.: 0.00
Relative energy among the computed polymorphs, eV/f.u.: 0.22